# 1
## TaWO2 (PBEsol)

Data for TaWO2 after structural relaxation.

Calculated values
Crystal system: trigonal
Raw total energy, eV per atom: -10.388
Calculated volume, Å³/f.u.: 47
Total magnetization, Bohr magnetons per cell: 0.00
E_form (uncorrected), eV per atom: -1.1733

a = 2.782 Å, b = 2.782 Å, c = 7.193 Å
α = 78.85°, β = 78.85°, γ = 60.00°
Element x y z (fractional)
O: 0.900 0.900 0.299
W: 0.500 0.500 0.500
O: 0.100 0.100 0.701
Ta: 0.000 0.000 0.000

# 2
## Sc2Cd (PBEsol)

Data for Sc2Cd after structural relaxation.

Calculated values
Crystal system: tetragonal
Raw total energy, eV per atom: -4.976
Calculated volume, Å³/f.u.: 65
Total magnetization, Bohr magnetons per cell: 2.07
Formation energy from the elements, eV per atom: -0.17

a = 4.456 Å, b = 4.456 Å, c = 13.412 Å
α = 99.56°, β = 99.56°, γ = 90.00°
Site moments in Bohr magnetons follow the coordinates.
Element x y z (fractional)
Sc: 0.585 0.585 0.170  0.18
Sc: 0.835 0.335 0.670  0.18
Cd: 0.917 0.917 0.833  0.00
Sc: 0.665 0.165 0.330  0.18
Sc: 0.501 0.001 0.002  0.18
Sc: 0.999 0.499 0.998  0.18
Sc: 0.749 0.749 0.498  0.18
Cd: 0.333 0.833 0.667  0.00
Cd: 0.083 0.083 0.167  0.00
Sc: 0.251 0.251 0.502  0.18
Sc: 0.415 0.415 0.830  0.18
Cd: 0.167 0.667 0.333  0.00